A plane-wave DFT calculation with PBE-GGA was carried out for a relaxed structure of AcPm2TmSe5.

a b c (Å): 5.110 5.110 11.345
angles (deg): 90.00 90.00 90.00
Sites, in units of the cell vectors:
Ac (0.000, 0.000, 0.000)
Pm (0.500, 0.500, 0.345)
Pm (0.500, 0.500, 0.655)
Tm (0.000, 0.000, 0.500)
Se (0.000, 0.000, 0.259)
Se (0.000, 0.000, 0.741)
Se (0.000, 0.500, 0.500)
Se (0.500, 0.000, 0.500)
Se (0.500, 0.500, 0.000)

## Properties
Space group   No. 123
E   -5.3163 eV/atom
Energy relative to the elements, uncorrected   -12.3 eV/f.u.
Density of states at the Fermi level   0.412 states/eV/atom

A plane-wave DFT calculation with PBE-GGA was carried out for a relaxed structure of AcPm2TmSe4.

a b c (Å): 7.222 4.143 7.535
angles (deg): 90.00 108.43 90.00
Sites, in units of the cell vectors:
Ac (0.000, 0.000, 0.000)
Pm (0.500, 0.000, 0.500)
Pm (0.500, 0.500, 0.000)
Tm (0.000, 0.500, 0.500)
Se (0.242, 0.000, 0.731)
Se (0.255, 0.500, 0.269)
Se (0.745, 0.500, 0.731)
Se (0.758, 0.000, 0.269)

## Properties
Space group   No. 10
E   -5.7689 eV/atom
Energy relative to the elements, uncorrected   -14.1 eV/f.u.
Density of states at the Fermi level   0.495 states/eV/atom

A plane-wave DFT calculation with PBE-GGA was carried out for a relaxed structure of Ac3Pm2TmSe6.

a b c (Å): 7.349 7.349 7.634
angles (deg): 99.24 99.24 120.16
Sites, in units of the cell vectors:
Ac (0.000, 0.000, 0.000)
Ac (0.329, 0.671, 0.000)
Ac (0.671, 0.329, 0.000)
Pm (0.167, 0.833, 0.500)
Pm (0.833, 0.167, 0.500)
Tm (0.500, 0.500, 0.500)
Se (0.103, 0.426, 0.276)
Se (0.254, 0.254, 0.729)
Se (0.426, 0.103, 0.276)
Se (0.574, 0.897, 0.724)
Se (0.746, 0.746, 0.271)
Se (0.897, 0.574, 0.724)

## Properties
Space group   No. 12
E   -5.7493 eV/atom
Energy relative to the elements, uncorrected   -21.8 eV/f.u.
Density of states at the Fermi level   0.458 states/eV/atom

A plane-wave DFT calculation with PBE-GGA was carried out for a relaxed structure of Ac2PmTmSe5.

a b c (Å): 5.097 5.097 11.031
angles (deg): 90.00 90.00 90.00
Sites, in units of the cell vectors:
Ac (0.000, 0.000, 0.212)
Ac (0.000, 0.000, 0.788)
Pm (0.500, 0.500, 0.500)
Tm (0.500, 0.500, 0.000)
Se (0.000, 0.000, 0.500)
Se (0.000, 0.500, 0.000)
Se (0.500, 0.000, 0.000)
Se (0.500, 0.500, 0.251)
Se (0.500, 0.500, 0.749)

## Properties
Space group   No. 123
E   -5.3968 eV/atom
Energy relative to the elements, uncorrected   -13.7 eV/f.u.
Density of states at the Fermi level   0.542 states/eV/atom

A plane-wave DFT calculation with PBE-GGA was carried out for a relaxed structure of Ac3PmTm3Se8.

a b c (Å): 8.583 8.583 8.583
angles (deg): 57.99 57.99 57.99
Sites, in units of the cell vectors:
Ac (0.000, 0.500, 0.500)
Ac (0.500, 0.000, 0.500)
Ac (0.500, 0.500, 0.000)
Pm (0.500, 0.500, 0.500)
Tm (0.000, 0.000, 0.500)
Tm (0.000, 0.500, 0.000)
Tm (0.500, 0.000, 0.000)
Se (0.226, 0.751, 0.751)
Se (0.239, 0.239, 0.239)
Se (0.249, 0.249, 0.774)
Se (0.249, 0.774, 0.249)
Se (0.751, 0.226, 0.751)
Se (0.751, 0.751, 0.226)
Se (0.761, 0.761, 0.761)
Se (0.774, 0.249, 0.249)

## Properties
Space group   No. 166
E   -5.7227 eV/atom
Energy relative to the elements, uncorrected   -27.5 eV/f.u.
Density of states at the Fermi level   0.475 states/eV/atom

A plane-wave DFT calculation with PBE-GGA was carried out for a relaxed structure of Ac4Pm3TmSe8.

a b c (Å): 8.694 8.694 8.694
angles (deg): 58.88 58.88 58.88
Sites, in units of the cell vectors:
Ac (0.000, 0.000, 0.000)
Ac (0.000, 0.500, 0.500)
Ac (0.500, 0.000, 0.500)
Ac (0.500, 0.500, 0.000)
Pm (0.000, 0.000, 0.500)
Pm (0.000, 0.500, 0.000)
Pm (0.500, 0.000, 0.000)
Tm (0.500, 0.500, 0.500)
Se (0.244, 0.244, 0.244)
Se (0.251, 0.737, 0.737)
Se (0.263, 0.263, 0.749)
Se (0.263, 0.749, 0.263)
Se (0.737, 0.251, 0.737)
Se (0.737, 0.737, 0.251)
Se (0.749, 0.263, 0.263)
Se (0.756, 0.756, 0.756)

## Properties
Space group   No. 166
E   -5.7557 eV/atom
Energy relative to the elements, uncorrected   -29.1 eV/f.u.
Density of states at the Fermi level   0.561 states/eV/atom

A plane-wave DFT calculation with PBE-GGA was carried out for a relaxed structure of Ac4Pm3YSe8.

a b c (Å): 8.690 8.690 8.690
angles (deg): 59.17 59.17 59.17
Sites, in units of the cell vectors:
Ac (0.000, 0.000, 0.000)
Ac (0.000, 0.500, 0.500)
Ac (0.500, 0.000, 0.500)
Ac (0.500, 0.500, 0.000)
Pm (0.000, 0.000, 0.500)
Pm (0.000, 0.500, 0.000)
Pm (0.500, 0.000, 0.000)
Y (0.500, 0.500, 0.500)
Se (0.244, 0.244, 0.244)
Se (0.248, 0.740, 0.740)
Se (0.260, 0.260, 0.752)
Se (0.260, 0.752, 0.260)
Se (0.740, 0.248, 0.740)
Se (0.740, 0.740, 0.248)
Se (0.752, 0.260, 0.260)
Se (0.756, 0.756, 0.756)

## Properties
Space group   No. 166
E   -5.8954 eV/atom
Energy relative to the elements, uncorrected   -29.3 eV/f.u.
Density of states at the Fermi level   0.583 states/eV/atom

A plane-wave DFT calculation with PBE-GGA was carried out for a relaxed structure of AcPmY2Se4.

a b c (Å): 7.196 4.130 7.499
angles (deg): 90.00 108.52 90.00
Sites, in units of the cell vectors:
Ac (0.000, 0.000, 0.000)
Pm (0.500, 0.500, 0.000)
Y (0.000, 0.500, 0.500)
Y (0.500, 0.000, 0.500)
Se (0.251, 0.000, 0.733)
Se (0.265, 0.500, 0.273)
Se (0.735, 0.500, 0.727)
Se (0.749, 0.000, 0.267)

## Properties
Space group   No. 10
E   -6.2599 eV/atom
Energy relative to the elements, uncorrected   -14.4 eV/f.u.
Density of states at the Fermi level   0.511 states/eV/atom

A plane-wave DFT calculation with PBE-GGA was carried out for a relaxed structure of Ac3Pm2YSe6.

a b c (Å): 7.392 7.392 7.609
angles (deg): 99.32 99.32 120.16
Sites, in units of the cell vectors:
Ac (0.000, 0.000, 0.000)
Ac (0.330, 0.670, 0.000)
Ac (0.670, 0.330, 0.000)
Pm (0.167, 0.833, 0.500)
Pm (0.833, 0.167, 0.500)
Y (0.500, 0.500, 0.500)
Se (0.098, 0.425, 0.273)
Se (0.250, 0.250, 0.730)
Se (0.425, 0.098, 0.273)
Se (0.575, 0.902, 0.727)
Se (0.750, 0.750, 0.270)
Se (0.902, 0.575, 0.727)

## Properties
Space group   No. 12
E   -5.9331 eV/atom
Energy relative to the elements, uncorrected   -22.0 eV/f.u.
Density of states at the Fermi level   0.503 states/eV/atom

A plane-wave DFT calculation with PBE-GGA was carried out for a relaxed structure of AcPm3Y2Se6.

a b c (Å): 7.301 7.301 7.285
angles (deg): 99.66 99.66 120.18
Sites, in units of the cell vectors:
Ac (0.000, 0.000, 0.000)
Pm (0.158, 0.842, 0.500)
Pm (0.500, 0.500, 0.500)
Pm (0.842, 0.158, 0.500)
Y (0.333, 0.667, 0.000)
Y (0.667, 0.333, 0.000)
Se (0.084, 0.434, 0.252)
Se (0.269, 0.269, 0.758)
Se (0.434, 0.084, 0.252)
Se (0.566, 0.916, 0.748)
Se (0.731, 0.731, 0.242)
Se (0.916, 0.566, 0.748)

## Properties
Space group   No. 12
E   -6.1518 eV/atom
Energy relative to the elements, uncorrected   -21.6 eV/f.u.
Density of states at the Fermi level   0.489 states/eV/atom

A plane-wave DFT calculation with PBE-GGA was carried out for a relaxed structure of Ac3PmY2Se6.

a b c (Å): 7.319 7.319 7.649
angles (deg): 99.19 99.19 120.16
Sites, in units of the cell vectors:
Ac (0.000, 0.000, 0.000)
Ac (0.336, 0.664, 0.000)
Ac (0.664, 0.336, 0.000)
Pm (0.500, 0.500, 0.500)
Y (0.167, 0.833, 0.500)
Y (0.833, 0.167, 0.500)
Se (0.085, 0.425, 0.275)
Se (0.234, 0.234, 0.722)
Se (0.425, 0.085, 0.275)
Se (0.575, 0.915, 0.725)
Se (0.766, 0.766, 0.278)
Se (0.915, 0.575, 0.725)

## Properties
Space group   No. 12
E   -6.0644 eV/atom
Energy relative to the elements, uncorrected   -21.9 eV/f.u.
Density of states at the Fermi level   0.457 states/eV/atom

A plane-wave DFT calculation with PBE-GGA was carried out for a relaxed structure of Ac2Pm3Si4.

a b c (Å): 9.105 9.105 8.477
angles (deg): 90.00 90.00 133.20
Sites, in units of the cell vectors:
Ac (0.108, 0.892, 0.914)
Ac (0.392, 0.608, 0.414)
Ac (0.608, 0.392, 0.586)
Ac (0.892, 0.108, 0.086)
Pm (0.000, 0.000, 0.500)
Pm (0.043, 0.457, 0.750)
Pm (0.457, 0.043, 0.250)
Pm (0.500, 0.500, 0.000)
Pm (0.543, 0.957, 0.750)
Pm (0.957, 0.543, 0.250)
Si (0.191, 0.809, 0.553)
Si (0.218, 0.282, 0.750)
Si (0.282, 0.218, 0.250)
Si (0.309, 0.691, 0.053)
Si (0.691, 0.309, 0.947)
Si (0.718, 0.782, 0.750)
Si (0.782, 0.718, 0.250)
Si (0.809, 0.191, 0.447)

## Properties
Space group   No. 64
E   -5.4163 eV/atom
Energy above the lowest structure with this stoichiometry   1.39 eV per formula unit
Energy relative to the elements, uncorrected   -4.6 eV/f.u.
Density of states at the Fermi level   0.571 states/eV/atom

A plane-wave DFT calculation with PBE-GGA was carried out for a relaxed structure of Ac2PmSi.

a b c (Å): 5.703 5.703 5.703
angles (deg): 60.00 60.00 60.00
Sites, in units of the cell vectors:
Ac (0.250, 0.250, 0.250)
Ac (0.750, 0.750, 0.750)
Pm (0.000, 0.000, 0.000)
Si (0.500, 0.500, 0.500)

## Properties
Space group   No. 225
E   -4.4921 eV/atom
Energy above the lowest structure with this stoichiometry   0.93 eV per formula unit
Energy relative to the elements, uncorrected   0.4 eV/f.u.
Density of states at the Fermi level   1.165 states/eV/atom

A plane-wave DFT calculation with PBE-GGA was carried out for a relaxed structure of AcPm12Si6.

a b c (Å): 8.617 8.617 8.617
angles (deg): 103.23 103.23 103.23
Sites, in units of the cell vectors:
Ac (0.000, 0.000, 0.000)
Pm (0.123, 0.500, 0.877)
Pm (0.123, 0.877, 0.500)
Pm (0.179, 0.447, 0.447)
Pm (0.447, 0.179, 0.447)
Pm (0.447, 0.447, 0.179)
Pm (0.500, 0.123, 0.877)
Pm (0.500, 0.877, 0.123)
Pm (0.553, 0.553, 0.821)
Pm (0.553, 0.821, 0.553)
Pm (0.821, 0.553, 0.553)
Pm (0.877, 0.123, 0.500)
Pm (0.877, 0.500, 0.123)
Si (0.247, 0.247, 0.698)
Si (0.247, 0.698, 0.247)
Si (0.302, 0.753, 0.753)
Si (0.698, 0.247, 0.247)
Si (0.753, 0.302, 0.753)
Si (0.753, 0.753, 0.302)

## Properties
Space group   No. 166
E   -5.2904 eV/atom
Energy relative to the elements, uncorrected   -6.9 eV/f.u.
Density of states at the Fermi level   1.218 states/eV/atom

A plane-wave DFT calculation with PBE-GGA was carried out for a relaxed structure of Ac2PmSi.

a b c (Å): 3.998 3.998 8.612
angles (deg): 90.00 90.00 90.00
Sites, in units of the cell vectors:
Ac (0.000, 0.000, 0.195)
Ac (0.000, 0.000, 0.805)
Pm (0.500, 0.500, 0.500)
Si (0.500, 0.500, 0.000)

## Properties
Space group   No. 123
E   -4.7247 eV/atom
Energy above the lowest structure with this stoichiometry   0.00 eV per formula unit
Energy relative to the elements, uncorrected   -0.5 eV/f.u.
Density of states at the Fermi level   1.556 states/eV/atom

A plane-wave DFT calculation with PBE-GGA was carried out for a relaxed structure of Ac3PmSi4.

a b c (Å): 9.362 9.362 9.362
angles (deg): 151.96 139.54 49.95
Sites, in units of the cell vectors:
Ac (0.000, 0.000, 0.000)
Ac (0.306, 0.806, 0.500)
Ac (0.694, 0.194, 0.500)
Pm (0.500, 0.500, 0.000)
Si (0.054, 0.373, 0.682)
Si (0.309, 0.627, 0.682)
Si (0.691, 0.373, 0.318)
Si (0.946, 0.627, 0.318)

## Properties
Space group   No. 71
E   -5.3166 eV/atom
Energy relative to the elements, uncorrected   -3.8 eV/f.u.
Density of states at the Fermi level   1.063 states/eV/atom

A plane-wave DFT calculation with PBE-GGA was carried out for a relaxed structure of AcPm2Si.

a b c (Å): 3.897 3.897 8.004
angles (deg): 90.00 90.00 90.00
Sites, in units of the cell vectors:
Ac (0.000, 0.000, 0.000)
Pm (0.500, 0.500, 0.316)
Pm (0.500, 0.500, 0.684)
Si (0.000, 0.000, 0.500)

## Properties
Space group   No. 123
E   -4.9796 eV/atom
Energy above the lowest structure with this stoichiometry   0.00 eV per formula unit
Energy relative to the elements, uncorrected   -0.9 eV/f.u.
Density of states at the Fermi level   1.328 states/eV/atom

A plane-wave DFT calculation with PBE-GGA was carried out for a relaxed structure of Ac2PmSi.

a b c (Å): 5.101 5.101 4.881
angles (deg): 90.00 90.00 90.00
Sites, in units of the cell vectors:
Ac (0.000, 0.500, 0.000)
Ac (0.500, 0.000, 0.000)
Pm (0.000, 0.000, 0.500)
Si (0.500, 0.500, 0.500)

## Properties
Space group   No. 123
E   -4.7013 eV/atom
Energy above the lowest structure with this stoichiometry   0.09 eV per formula unit
Energy relative to the elements, uncorrected   -0.4 eV/f.u.
Density of states at the Fermi level   1.128 states/eV/atom

A plane-wave DFT calculation with PBE-GGA was carried out for a relaxed structure of Ac5PmSi3.

a b c (Å): 8.404 8.404 10.979
angles (deg): 105.13 105.13 74.90
Sites, in units of the cell vectors:
Ac (0.024, 0.024, 0.335)
Ac (0.123, 0.510, 0.364)
Ac (0.199, 0.801, 0.000)
Ac (0.258, 0.258, 0.935)
Ac (0.490, 0.877, 0.636)
Ac (0.510, 0.123, 0.364)
Ac (0.742, 0.742, 0.065)
Ac (0.801, 0.199, 0.000)
Ac (0.877, 0.490, 0.636)
Ac (0.976, 0.976, 0.665)
Pm (0.437, 0.437, 0.721)
Pm (0.563, 0.563, 0.279)
Si (0.170, 0.170, 0.163)
Si (0.208, 0.208, 0.596)
Si (0.500, 0.500, 0.000)
Si (0.500, 0.500, 0.500)
Si (0.792, 0.792, 0.404)
Si (0.830, 0.830, 0.837)

## Properties
Space group   No. 12
E   -4.8458 eV/atom
Energy relative to the elements, uncorrected   -2.1 eV/f.u.
Density of states at the Fermi level   1.143 states/eV/atom

A plane-wave DFT calculation with PBE-GGA was carried out for a relaxed structure of AcPm2Si4.

a b c (Å): 9.471 9.471 9.471
angles (deg): 155.69 152.01 37.41
Sites, in units of the cell vectors:
Ac (0.000, 0.000, 0.000)
Pm (0.182, 0.682, 0.500)
Pm (0.818, 0.318, 0.500)
Si (0.351, 0.851, 0.500)
Si (0.432, 0.432, 0.000)
Si (0.568, 0.568, 0.000)
Si (0.649, 0.149, 0.500)

## Properties
Space group   No. 71
E   -5.7520 eV/atom
Energy relative to the elements, uncorrected   -5.0 eV/f.u.
Density of states at the Fermi level   0.633 states/eV/atom